! GGA-PBEsol MnFe2Ni, optimized geometry; values from VASP
&SYSTEM
  ibrav = 0, nat = 4, ntyp = 3
/
ATOMIC_SPECIES
Fe 55.84 Fe.upf
Mn 54.94 Mn.upf
Ni 58.69 Ni.upf
CELL_PARAMETERS angstrom
2.443 0.000 0.000
0.000 4.300 0.002
-1.221 -0.699 4.005
ATOMIC_POSITIONS crystal
Fe 0.999 0.008 0.998
Fe 0.250 0.740 0.500
Mn 0.502 0.508 0.003
Ni 0.749 0.244 0.499
! - energy of formation from the pure elements (meV/atom) = 73
! - total energy (eV per cell) = -33.55